1.
Here is a relaxed structure of Dy3Tm3Pt2 from Alexandria. Energies are from PBE.

```
data_Dy3Tm3Pt2
_cell_length_a 3.767
_cell_length_b 13.080
_cell_length_c 18.048
_cell_angle_alpha 90.00
_cell_angle_beta 90.00
_cell_angle_gamma 90.00
_symmetry_space_group_name_H-M 'C m c m'
_symmetry_Int_Tables_number 63
_symmetry_space_group_name_Hall '-C 2c 2'
loop_
_atom_site_label
_atom_site_type_symbol
_atom_site_fract_x
_atom_site_fract_y
_atom_site_fract_z
Dy1 Dy 0.000 0.056 0.089
Dy2 Dy 0.000 0.295 0.250
Tm1 Tm 0.000 0.331 0.055
Tm2 Tm 0.000 0.430 0.750
Pt1 Pt 0.000 0.286 0.634
```

Formation enthalpy at 0 K ... -617 meV/atom

=====

2.
Here is a relaxed structure of Dy2Tm3Pt4 from Alexandria. Energies are from PBE.

```
data_Dy2Tm3Pt4
_cell_length_a 7.595
_cell_length_b 7.645
_cell_length_c 7.483
_cell_angle_alpha 90.00
_cell_angle_beta 109.94
_cell_angle_gamma 90.00
_symmetry_space_group_name_H-M 'P 1 21/c 1'
_symmetry_Int_Tables_number 14
loop_
_symmetry_equiv_pos_as_xyz
'x,y,z'
'-x,-y,-z'
'-x,y+1/2,-z+1/2'
'x,-y+1/2,z+1/2'
loop_
_atom_site_label
_atom_site_type_symbol
_atom_site_fract_x
_atom_site_fract_y
_atom_site_fract_z
Dy1 Dy 0.193 0.179 0.071
Tm1 Tm 0.244 0.666 0.246
Tm2 Tm 0.500 0.000 0.500
Pt1 Pt 0.086 0.536 0.850
Pt2 Pt 0.490 0.136 0.867
```

Formation enthalpy at 0 K ... -1221 meV/atom

=====

Number 1: theoretical density 10341 kg/m³. Number 2: theoretical density 13109 kg/m³.